# 1
Below is a geometry-optimized NaNiAu structure, with properties calculated at the GGA-PBE level.

Unit cell a=4.3341 b=4.3341 c=4.3341 alpha=60.00 beta=60.00 gamma=60.00
Last column: nearest neighbours and their distance in Å.
Fractional coordinates of all 3 atoms:
Au 0.2500 0.2500 0.2500  4 Ni 2.65
Ni 0.0000 0.0000 0.0000  4 Au 2.65, 4 Na 2.65
Na 0.7500 0.7500 0.7500  4 Ni 2.65

Results
E above lowest polymorph	0	meV per atom
calculated density	8.038	g/cm³
final energy	-3.057	eV per atom

# 2
Below is a geometry-optimized HoTm2Hg structure, with properties calculated at the GGA-PBE level.

Unit cell a=5.0976 b=6.6400 c=6.6400 alpha=105.32 beta=90.00 gamma=90.00
Last column: nearest neighbours and their distance in Å.
Fractional coordinates of all 8 atoms:
Hg 0.7500 0.5742 0.9271  6 Tm 3.13-3.48, 4 Ho 3.14-3.50
Ho 0.7500 0.6530 0.4262  4 Hg 3.14-3.50, 5 Tm 3.33-3.46, 2 Ho 3.50
Tm 0.2500 0.3599 0.1384  6 Tm 3.31-3.46, 4 Ho 3.33-3.46, 2 Hg 3.40
Tm 0.2500 0.8488 0.0724  4 Hg 3.13-3.48, 6 Tm 3.31-3.47, 1 Ho 3.39
Hg 0.2500 0.9271 0.5742  6 Tm 3.13-3.48, 4 Ho 3.14-3.50
Tm 0.7500 0.0724 0.8488  4 Hg 3.13-3.48, 6 Tm 3.31-3.47, 1 Ho 3.39
Ho 0.2500 0.4262 0.6530  4 Hg 3.14-3.50, 5 Tm 3.33-3.46, 2 Ho 3.50
Tm 0.7500 0.1384 0.3599  6 Tm 3.31-3.46, 4 Ho 3.33-3.46, 2 Hg 3.40

Results
E above lowest polymorph	0	meV per atom
formation energy	-194	meV/atom
calculated density	10.777	g/cm³
final energy	-3.650	eV per atom

# 3
Below is a geometry-optimized YTc2Pb structure, with properties calculated at the GGA-PBE level.

Unit cell a=4.8053 b=4.8053 c=4.8053 alpha=60.00 beta=60.00 gamma=60.00
Last column: nearest neighbours and their distance in Å.
Fractional coordinates of all 4 atoms:
Tc 0.7500 0.7500 0.7500  4 Pb 2.94, 4 Tc 2.94
Pb 0.5000 0.5000 0.5000  4 Tc 2.94, 4 Y 2.94
Y 0.2500 0.2500 0.2500  4 Pb 2.94, 4 Tc 2.94
Tc 0.0000 0.0000 0.0000  4 Tc 2.94, 4 Y 2.94

Results
calculated density	10.415	g/cm³
final energy	-7.284	eV per atom

# 4
Below is a geometry-optimized PrGePO structure, with properties calculated at the GGA-PBE level.

Unit cell a=3.8831 b=6.2005 c=7.0533 alpha=90.00 beta=90.00 gamma=90.00
Last column: nearest neighbours and their distance in Å.
Fractional coordinates of all 8 atoms:
Ge 0.0000 0.8833 0.0733  1 O 1.88
Pr 0.5000 0.7292 0.4786  2 O 2.31
Pr 0.5000 0.2708 0.9786  2 O 2.31
O 0.0000 0.7238 0.3000  1 Ge 1.88
P 0.5000 0.2558 0.4021  2 Ge 2.44
P 0.5000 0.7442 0.9021  2 Ge 2.44
O 0.0000 0.2762 0.8000  1 Ge 1.88
Ge 0.0000 0.1167 0.5733  1 O 1.88

Results
E above lowest polymorph	65	meV per atom
calculated density	5.095	g/cm³
final energy	-6.286	eV per atom

# 5
Below is a geometry-optimized NdPbO3 structure, with properties calculated at the GGA-PBE level.

Unit cell a=6.1925 b=8.4966 c=5.8462 alpha=90.00 beta=90.00 gamma=90.00
Last column: nearest neighbours and their distance in Å.
Fractional coordinates of all 20 atoms:
O 0.0834 0.7500 0.8408  2 Nd 2.30-2.42, 2 Pb 2.38
O 0.4166 0.2500 0.3408  2 Nd 2.30-2.42, 2 Pb 2.38
O 0.3127 0.0759 0.8167  2 Pb 2.28-2.30, 1 Nd 2.35
Nd 0.4357 0.7500 0.0200  4 O 2.30-2.42
Nd 0.0643 0.2500 0.5200  4 O 2.30-2.42
O 0.5834 0.7500 0.6592  2 Nd 2.30-2.42, 2 Pb 2.38
O 0.1873 0.9241 0.3167  2 Pb 2.28-2.30, 1 Nd 2.35
Pb 0.5000 0.0000 0.5000  6 O 2.28-2.38
Pb 0.0000 0.0000 0.0000  6 O 2.28-2.38
Nd 0.5643 0.2500 0.9800  4 O 2.30-2.42
O 0.8127 0.4241 0.6833  2 Pb 2.28-2.30, 1 Nd 2.35
Nd 0.9357 0.7500 0.4800  4 O 2.30-2.42
O 0.9166 0.2500 0.1592  2 Nd 2.30-2.42, 2 Pb 2.38
O 0.6873 0.5759 0.1833  2 Pb 2.28-2.30, 1 Nd 2.35
O 0.3127 0.4241 0.8167  2 Pb 2.28-2.30, 1 Nd 2.35
Pb 0.5000 0.5000 0.5000  6 O 2.28-2.38
O 0.8127 0.0759 0.6833  2 Pb 2.28-2.30, 1 Nd 2.35
O 0.1873 0.5759 0.3167  2 Pb 2.28-2.30, 1 Nd 2.35
O 0.6873 0.9241 0.1833  2 Pb 2.28-2.30, 1 Nd 2.35
Pb 0.0000 0.5000 0.0000  6 O 2.28-2.38

Results
calculated density	8.625	g/cm³
final energy	-6.713	eV per atom

# 6
Below is a geometry-optimized Cu7Ag3 structure, with properties calculated at the GGA-PBE level.

Unit cell a=6.5047 b=2.7396 c=7.9147 alpha=90.00 beta=103.61 gamma=90.00
Last column: nearest neighbours and their distance in Å.
Fractional coordinates of all 10 atoms:
Cu 0.5000 0.5000 0.5000  12 Cu 2.53-2.74
Ag 0.6866 0.5000 0.1199  7 Cu 2.68-2.99, 5 Ag 2.71-2.80
Cu 0.7997 0.0000 0.4183  10 Cu 2.48-2.78, 2 Ag 2.68
Cu 0.9063 0.5000 0.6866  9 Cu 2.48-2.74, 3 Ag 2.73-2.77
Cu 0.0937 0.5000 0.3134  9 Cu 2.48-2.74, 3 Ag 2.73-2.77
Cu 0.6172 0.0000 0.7745  7 Cu 2.53-2.78, 3 Ag 2.69-2.70
Cu 0.3828 0.0000 0.2255  7 Cu 2.53-2.78, 3 Ag 2.69-2.70
Cu 0.2003 0.0000 0.5817  10 Cu 2.48-2.78, 2 Ag 2.68
Ag 0.3134 0.5000 0.8801  7 Cu 2.68-2.99, 5 Ag 2.71-2.80
Ag 0.0000 0.0000 0.0000  6 Cu 2.70-2.77, 6 Ag 2.74-2.80

Results
E above lowest polymorph	37	meV per atom
formation energy	81	meV/atom
calculated density	9.308	g/cm³
final energy	-3.368	eV per atom

# 7
Below is a geometry-optimized PmTaN2O structure, with properties calculated at the GGA-PBE level.

Unit cell a=5.6351 b=9.8233 c=9.8235 alpha=71.46 beta=89.98 gamma=89.99
Last column: nearest neighbours and their distance in Å.
Fractional coordinates of all 40 atoms:
Pm 0.5065 0.3918 0.3603  1 O 2.32, 2 N 2.44-2.46
O 0.7170 0.8707 0.0727  2 Ta 2.11-2.30
Ta 0.0151 0.0058 0.0076  3 N 1.97-2.00, 3 O 2.11-2.19
N 0.9086 0.1372 0.1106  2 Ta 1.97-2.02
N 0.7962 0.6245 0.3276  2 Ta 2.01-2.07
N 0.7133 0.6671 0.8801  2 Ta 2.00-2.07
O 0.0993 0.3617 0.3856  2 Ta 2.13-2.21, 1 Pm 2.32
Ta 0.4850 0.7383 0.2604  4 N 1.93-2.07, 1 O 2.11
N 0.7176 0.3681 0.5838  2 Ta 2.01-2.10
Pm 0.5100 0.8969 0.8554  3 O 2.35-2.59, 2 N 2.47-2.57
Ta 0.4783 0.0008 0.5064  5 N 1.97-2.18
O 0.5987 0.3838 0.8642  2 Ta 2.14-2.19, 1 Pm 2.34
Pm 0.0053 0.8572 0.3944  1 O 2.32, 2 N 2.47
Pm 0.0105 0.3583 0.8945  3 O 2.34-2.61, 2 N 2.46-2.57
N 0.7922 0.4205 0.1296  2 Ta 1.98-2.06
N 0.4095 0.6127 0.1371  2 Ta 1.97-2.03
Ta 0.9843 0.7598 0.7388  4 N 1.93-2.08, 1 O 2.11
N 0.9114 0.6356 0.6164  2 Ta 1.97-2.01
Pm 0.4812 0.5990 0.6542  4 N 2.41-2.61, 2 O 2.53-2.55
Ta 0.9792 0.2434 0.2509  4 N 1.93-2.10, 1 O 2.13
N 0.2909 0.1280 0.9192  2 Ta 1.99-2.06
O 0.6013 0.8923 0.3536  2 Ta 2.11-2.21, 1 Pm 2.32
Pm 0.9794 0.1536 0.5992  2 O 2.40-2.51, 4 N 2.45-2.59
N 0.4107 0.1142 0.6355  2 Ta 1.97-1.99
O 0.7942 0.1111 0.8288  2 Ta 2.13-2.25
O 0.2166 0.5722 0.8718  2 Ta 2.12-2.30, 1 Pm 2.35
N 0.7944 0.9203 0.6288  2 Ta 1.93-2.15
Ta 0.5160 0.5079 0.0078  3 N 1.97-2.00, 3 O 2.12-2.19
N 0.2189 0.0845 0.3662  2 Ta 2.00-2.10
Pm 0.9856 0.6518 0.1021  4 N 2.40-2.63, 2 O 2.47-2.57
Ta 0.4786 0.2514 0.7425  4 N 1.93-2.10, 1 O 2.14
N 0.2143 0.8804 0.1670  2 Ta 2.00-2.07
O 0.2932 0.3292 0.1126  2 Ta 2.14-2.23, 1 Pm 2.39
Ta 0.9793 0.5087 0.5014  5 N 1.97-2.18
N 0.2954 0.6303 0.4216  2 Ta 1.93-2.15
Pm 0.4830 0.1021 0.1513  2 O 2.39-2.46, 4 N 2.44-2.62
N 0.7168 0.1676 0.3785  1 Ta 1.93
N 0.2962 0.8277 0.6230  2 Ta 2.00-2.08
N 0.2149 0.3781 0.6678  1 Ta 1.93
O 0.1010 0.8557 0.8909  2 Ta 2.11-2.19, 1 Pm 2.35

Results
calculated density	9.533	g/cm³
final energy	-9.587	eV per atom

# 8
Below is a geometry-optimized Pr2NdSn3Pd2Pt structure, with properties calculated at the GGA-PBE level.

Unit cell a=4.1488 b=7.6754 c=7.6754 alpha=120.00 beta=90.00 gamma=90.00
Last column: nearest neighbours and their distance in Å.
Fractional coordinates of all 9 atoms:
Sn 0.5000 0.2520 0.2520  2 Pt 2.84, 2 Pd 2.91
Pd 0.5000 0.6661 0.3346  3 Sn 2.91-2.94, 2 Nd 3.11, 4 Pr 3.12
Pd 0.5000 0.3346 0.6661  3 Sn 2.91-2.94, 2 Nd 3.11, 4 Pr 3.12
Pr 0.0000 0.4098 0.0002  4 Pd 3.12, 1 Pt 3.15, 6 Sn 3.33-3.45
Pt 0.0000 0.9990 0.9990  6 Sn 2.83-2.84, 1 Nd 3.13, 2 Pr 3.15
Sn 0.5000 0.9994 0.7481  2 Pt 2.83, 2 Pd 2.92-2.94
Sn 0.5000 0.7481 0.9994  2 Pt 2.83, 2 Pd 2.92-2.94
Nd 0.0000 0.5909 0.5909  4 Pd 3.11, 1 Pt 3.13, 6 Sn 3.33-3.44
Pr 0.0000 0.0002 0.4098  4 Pd 3.12, 1 Pt 3.15, 6 Sn 3.33-3.45

Results
calculated density	9.337	g/cm³
final energy	-5.697	eV per atom

# 9
Below is a geometry-optimized Pr3InHg5 structure, with properties calculated at the GGA-PBE level.

Unit cell a=9.2200 b=9.2200 c=6.5764 alpha=90.00 beta=90.00 gamma=120.00
Last column: nearest neighbours and their distance in Å.
Fractional coordinates of all 18 atoms:
Hg 0.6667 0.3333 0.0000  8 Hg 3.29-3.51, 6 Pr 3.46
In 0.0000 0.0000 0.5000  2 In 3.29, 6 Hg 3.44, 6 Pr 3.53
Hg 0.3283 0.0000 0.7500  5 Pr 3.07-3.29
Hg 0.0000 0.3283 0.7500  5 Pr 3.07-3.29
Hg 0.6717 0.0000 0.2500  5 Pr 3.07-3.29
Pr 0.3388 0.0000 0.2500  5 Hg 3.07-3.29
Pr 0.0000 0.6612 0.7500  5 Hg 3.07-3.29
Pr 0.6612 0.6612 0.2500  5 Hg 3.07-3.29
Hg 0.6717 0.6717 0.7500  5 Pr 3.07-3.29
Hg 0.3333 0.6667 0.0000  8 Hg 3.29-3.51, 6 Pr 3.46
Hg 0.0000 0.6717 0.2500  5 Pr 3.07-3.29
Hg 0.3283 0.3283 0.2500  5 Pr 3.07-3.29
Hg 0.3333 0.6667 0.5000  8 Hg 3.29-3.51, 6 Pr 3.46
Pr 0.3388 0.3388 0.7500  5 Hg 3.07-3.29
Pr 0.6612 0.0000 0.7500  5 Hg 3.07-3.29
Hg 0.6667 0.3333 0.5000  8 Hg 3.29-3.51, 6 Pr 3.46
In 0.0000 0.0000 0.0000  2 In 3.29, 6 Hg 3.44, 6 Pr 3.53
Pr 0.0000 0.3388 0.2500  5 Hg 3.07-3.29

Results
calculated density	10.567	g/cm³
final energy	-2.529	eV per atom

# 10
Below is a geometry-optimized Rb4OsO5 structure, with properties calculated at the GGA-PBE level.

Unit cell a=6.5444 b=6.5444 c=6.5444 alpha=100.56 beta=100.56 gamma=129.29
Last column: nearest neighbours and their distance in Å.
Fractional coordinates of all 10 atoms:
Rb 0.6141 0.8139 0.4002  5 O 2.74-2.97
O 0.0719 0.2166 0.2868  1 Os 1.93
Rb 0.2138 0.6141 0.8002  5 O 2.74-2.97
O 0.7851 0.0719 0.8553  1 Os 1.93
Rb 0.8139 0.4137 0.1998  5 O 2.74-2.97
O 0.9298 0.7851 0.7132  1 Os 1.93
O 0.3889 0.3889 0.0000  1 Os 1.83
Rb 0.4137 0.2138 0.5998  5 O 2.74-2.97
Os 0.0626 0.0626 0.0000  5 O 1.83-1.93
O 0.2166 0.9298 0.1447  1 Os 1.93

Results
calculated density	5.185	g/cm³
final energy	-5.263	eV per atom

# 11
Below is a geometry-optimized TbInNi structure, with properties calculated at the GGA-PBE level.

Unit cell a=8.2374 b=8.2374 c=3.2246 alpha=90.00 beta=90.00 gamma=120.00
Last column: nearest neighbours and their distance in Å.
Fractional coordinates of all 9 atoms:
Ni 0.3544 0.3544 0.5000  5 In 2.92-3.11, 6 Tb 3.17-3.26, 2 Ni 3.22
Ni 0.6456 0.0000 0.5000  5 In 2.92-3.11, 6 Tb 3.17-3.26, 2 Ni 3.22
In 0.3333 0.6667 0.0000  3 Tb 2.89, 6 Ni 3.11, 2 In 3.22
Ni 0.0000 0.6456 0.5000  5 In 2.92-3.11, 6 Tb 3.17-3.26, 2 Ni 3.22
Tb 0.0000 0.3016 0.0000  4 In 2.89-2.96, 4 Ni 3.17, 2 Tb 3.22
In 0.6667 0.3333 0.0000  3 Tb 2.89, 6 Ni 3.11, 2 In 3.22
Tb 0.3016 0.0000 0.0000  4 In 2.89-2.96, 4 Ni 3.17, 2 Tb 3.22
In 0.0000 0.0000 0.5000  3 Ni 2.92, 6 Tb 2.96, 2 In 3.22
Tb 0.6984 0.6984 0.0000  4 In 2.89-2.96, 4 Ni 3.17, 2 Tb 3.22

Results
calculated density	8.740	g/cm³
final energy	-4.271	eV per atom

# 12
Below is a geometry-optimized Cd3P2 structure, with properties calculated at the GGA-PBE level.

Unit cell a=8.8011 b=8.8011 c=12.3272 alpha=90.00 beta=90.00 gamma=90.00
Last column: nearest neighbours and their distance in Å.
Fractional coordinates of all 40 atoms:
P 0.7500 0.2500 0.5076  4 Cd 2.52-2.58
Cd 0.9633 0.7500 0.6317  3 P 2.55-2.62
Cd 0.7500 0.0064 0.3996  4 P 2.52-2.82
P 0.2500 0.7500 0.0076  4 Cd 2.52-2.58
P 0.9927 0.0073 0.2500  6 Cd 2.61-2.82
P 0.0073 0.9927 0.7500  6 Cd 2.61-2.82
P 0.9927 0.4927 0.2500  6 Cd 2.61-2.82
P 0.5073 0.0073 0.2500  6 Cd 2.61-2.82
Cd 0.4661 0.7500 0.3514  3 P 2.58-2.61
Cd 0.2500 0.9661 0.1486  3 P 2.58-2.61
P 0.2500 0.2500 0.0086  4 Cd 2.52-2.55
P 0.4927 0.9927 0.7500  6 Cd 2.61-2.82
P 0.7500 0.2500 0.9924  4 Cd 2.52-2.58
Cd 0.0064 0.7500 0.8996  4 P 2.52-2.82
Cd 0.9936 0.2500 0.1004  4 P 2.52-2.82
Cd 0.2500 0.4633 0.8683  3 P 2.55-2.62
Cd 0.5367 0.7500 0.6317  3 P 2.55-2.62
Cd 0.5339 0.2500 0.6486  3 P 2.58-2.61
Cd 0.0339 0.7500 0.3514  3 P 2.58-2.61
P 0.0073 0.5073 0.7500  6 Cd 2.61-2.82
Cd 0.2500 0.9936 0.6004  4 P 2.52-2.82
Cd 0.7500 0.4661 0.8514  3 P 2.58-2.61
Cd 0.7500 0.5367 0.1317  3 P 2.55-2.62
Cd 0.2500 0.5064 0.6004  4 P 2.52-2.82
Cd 0.7500 0.4936 0.3996  4 P 2.52-2.82
P 0.2500 0.2500 0.5085  4 Cd 2.52-2.55
Cd 0.5064 0.2500 0.1004  4 P 2.52-2.82
Cd 0.4633 0.2500 0.3683  3 P 2.55-2.62
Cd 0.9661 0.2500 0.6486  3 P 2.58-2.61
Cd 0.4936 0.7500 0.8996  4 P 2.52-2.82
Cd 0.0367 0.2500 0.3683  3 P 2.55-2.62
P 0.4927 0.5073 0.7500  6 Cd 2.61-2.82
Cd 0.2500 0.0367 0.8683  3 P 2.55-2.62
P 0.5073 0.4927 0.2500  6 Cd 2.61-2.82
P 0.7500 0.7500 0.9914  4 Cd 2.52-2.55
P 0.7500 0.7500 0.4914  4 Cd 2.52-2.55
P 0.2500 0.7500 0.4924  4 Cd 2.52-2.58
Cd 0.2500 0.5339 0.1486  3 P 2.58-2.61
Cd 0.7500 0.0339 0.8514  3 P 2.58-2.61
Cd 0.7500 0.9633 0.1317  3 P 2.55-2.62

Results
E above lowest polymorph	0	meV per atom
calculated density	5.554	g/cm³
final energy	-2.762	eV per atom

Q: Among the records above, which one has the lowest final energy?
A: PmTaN2O

Repeat the fifth record exactly.
Below is a geometry-optimized NdPbO3 structure, with properties calculated at the GGA-PBE level.

Unit cell a=6.1925 b=8.4966 c=5.8462 alpha=90.00 beta=90.00 gamma=90.00
Last column: nearest neighbours and their distance in Å.
Fractional coordinates of all 20 atoms:
O 0.0834 0.7500 0.8408  2 Nd 2.30-2.42, 2 Pb 2.38
O 0.4166 0.2500 0.3408  2 Nd 2.30-2.42, 2 Pb 2.38
O 0.3127 0.0759 0.8167  2 Pb 2.28-2.30, 1 Nd 2.35
Nd 0.4357 0.7500 0.0200  4 O 2.30-2.42
Nd 0.0643 0.2500 0.5200  4 O 2.30-2.42
O 0.5834 0.7500 0.6592  2 Nd 2.30-2.42, 2 Pb 2.38
O 0.1873 0.9241 0.3167  2 Pb 2.28-2.30, 1 Nd 2.35
Pb 0.5000 0.0000 0.5000  6 O 2.28-2.38
Pb 0.0000 0.0000 0.0000  6 O 2.28-2.38
Nd 0.5643 0.2500 0.9800  4 O 2.30-2.42
O 0.8127 0.4241 0.6833  2 Pb 2.28-2.30, 1 Nd 2.35
Nd 0.9357 0.7500 0.4800  4 O 2.30-2.42
O 0.9166 0.2500 0.1592  2 Nd 2.30-2.42, 2 Pb 2.38
O 0.6873 0.5759 0.1833  2 Pb 2.28-2.30, 1 Nd 2.35
O 0.3127 0.4241 0.8167  2 Pb 2.28-2.30, 1 Nd 2.35
Pb 0.5000 0.5000 0.5000  6 O 2.28-2.38
O 0.8127 0.0759 0.6833  2 Pb 2.28-2.30, 1 Nd 2.35
O 0.1873 0.5759 0.3167  2 Pb 2.28-2.30, 1 Nd 2.35
O 0.6873 0.9241 0.1833  2 Pb 2.28-2.30, 1 Nd 2.35
Pb 0.0000 0.5000 0.0000  6 O 2.28-2.38

Results
calculated density	8.625	g/cm³
final energy	-6.713	eV per atom